1.
{
  "formula": "K3Tl2Pb5",
  "functional": "GGA-PBE",
  "state": "optimized geometry",
  "density_g_cm3": 6.66,
  "n_ef_per_ev_cell": 9.16,
  "ef_ev_per_atom": -0.06,
  "total_energy_ev_per_cell": -54.26,
  "lattice_angstrom": [[-7.214, 7.417, 3.637], [7.214, -7.417, 3.637], [7.214, 7.417, -3.637]],
  "species": ["K", "K", "K", "K", "K", "K", "Tl", "Tl", "Tl", "Tl", "Pb", "Pb", "Pb", "Pb", "Pb", "Pb", "Pb", "Pb", "Pb", "Pb"],
  "fractional_positions": [[0.122, 0.726, 0.848], [0.250, 0.250, 0.000], [0.378, 0.226, 0.604], [0.622, 0.774, 0.396], [0.750, 0.750, 0.000], [0.878, 0.274, 0.152], [0.133, 0.151, 0.284], [0.367, 0.651, 0.019], [0.633, 0.349, 0.981], [0.867, 0.849, 0.716], [0.003, 0.250, 0.753], [0.129, 0.367, 0.496], [0.250, 0.750, 0.500], [0.371, 0.867, 0.238], [0.497, 0.250, 0.247], [0.503, 0.750, 0.753], [0.629, 0.133, 0.762], [0.750, 0.250, 0.500], [0.871, 0.633, 0.504], [0.997, 0.750, 0.247]]
}

***

2.
{
  "formula": "Tb2PrTm3Te6",
  "functional": "GGA-PBE",
  "state": "optimized geometry",
  "density_g_cm3": 8.15,
  "n_ef_per_ev_cell": 6.16,
  "raw_formation_energy_kcal_per_mol_atoms": -29.2,
  "total_energy_ev_per_cell": -61.48,
  "lattice_angstrom": [[9.585, -2.157, 0.000], [9.585, 2.157, 0.000], [-2.284, 0.000, 8.530]],
  "species": ["Tb", "Tb", "Pr", "Tm", "Tm", "Tm", "Te", "Te", "Te", "Te", "Te", "Te"],
  "fractional_positions": [[0.163, 0.163, 0.326], [0.837, 0.837, 0.674], [0.500, 0.500, 0.000], [0.162, 0.162, 0.830], [0.500, 0.500, 0.500], [0.838, 0.838, 0.170], [0.001, 0.001, 0.737], [0.327, 0.327, 0.921], [0.333, 0.333, 0.415], [0.667, 0.667, 0.585], [0.673, 0.673, 0.079], [0.999, 0.999, 0.263]]
}

***

3.
{
  "formula": "TbSm2Y3Te6",
  "functional": "GGA-PBE",
  "state": "optimized geometry",
  "density_g_cm3": 6.89,
  "n_ef_per_ev_cell": 6.51,
  "raw_formation_energy_kcal_per_mol_atoms": -30.8,
  "total_energy_ev_per_cell": -68.34,
  "lattice_angstrom": [[9.574, -2.186, 0.000], [9.574, 2.186, 0.000], [-2.035, 0.000, 8.592]],
  "species": ["Tb", "Sm", "Sm", "Y", "Y", "Y", "Te", "Te", "Te", "Te", "Te", "Te"],
  "fractional_positions": [[0.000, 0.000, 0.000], [0.332, 0.332, 0.665], [0.668, 0.668, 0.335], [0.000, 0.000, 0.500], [0.331, 0.331, 0.167], [0.669, 0.669, 0.833], [0.164, 0.164, 0.587], [0.166, 0.166, 0.078], [0.498, 0.498, 0.249], [0.502, 0.502, 0.751], [0.834, 0.834, 0.922], [0.836, 0.836, 0.413]]
}

***

4.
{
  "formula": "Pm2NdYS6",
  "functional": "GGA-PBE",
  "state": "optimized geometry",
  "density_g_cm3": 4.34,
  "n_ef_per_ev_cell": 0.00,
  "raw_formation_energy_kcal_per_mol_atoms": -46.8,
  "total_energy_ev_per_cell": -65.79,
  "lattice_angstrom": [[3.550, 2.050, 6.267], [-3.550, 2.050, 6.267], [0.000, -4.099, 6.267]],
  "species": ["Pm", "Pm", "Nd", "Y", "S", "S", "S", "S", "S", "S"],
  "fractional_positions": [[0.000, 0.000, 0.000], [0.497, 0.497, 0.497], [0.206, 0.206, 0.206], [0.702, 0.702, 0.702], [0.091, 0.409, 0.806], [0.309, 0.895, 0.604], [0.409, 0.806, 0.091], [0.604, 0.309, 0.895], [0.806, 0.091, 0.409], [0.895, 0.604, 0.309]]
}

***

5.
{
  "formula": "Cs7AgAu4",
  "functional": "GGA-PBE",
  "state": "optimized geometry",
  "density_g_cm3": 4.64,
  "n_ef_per_ev_cell": 8.03,
  "ef_ev_per_atom": -0.20,
  "total_energy_ev_per_cell": -24.37,
  "lattice_angstrom": [[8.687, -2.523, 0.000], [8.687, 2.523, 0.000], [-4.005, 0.000, 14.902]],
  "species": ["Cs", "Cs", "Cs", "Cs", "Cs", "Cs", "Cs", "Ag", "Au", "Au", "Au", "Au"],
  "fractional_positions": [[0.000, 0.000, 0.000], [0.222, 0.222, 0.867], [0.300, 0.300, 0.440], [0.510, 0.510, 0.298], [0.604, 0.604, 0.601], [0.763, 0.763, 0.146], [0.918, 0.918, 0.702], [0.141, 0.141, 0.228], [0.261, 0.261, 0.653], [0.379, 0.379, 0.072], [0.565, 0.565, 0.837], [0.956, 0.956, 0.466]]
}

***

6.
{
  "formula": "NaZnNiH6",
  "functional": "GGA-PBE",
  "state": "optimized geometry",
  "density_g_cm3": 3.15,
  "n_ef_per_ev_cell": 1.24,
  "total_energy_ev_per_cell": -28.76,
  "lattice_angstrom": [[4.477, 0.000, 0.000], [-2.238, 3.877, 0.000], [0.000, 0.000, 4.646]],
  "species": ["Na", "Zn", "Ni", "H", "H", "H", "H", "H", "H"],
  "fractional_positions": [[0.000, 0.000, 0.000], [0.333, 0.667, 0.500], [0.667, 0.333, 0.500], [0.460, 0.036, 0.726], [0.460, 0.425, 0.274], [0.575, 0.036, 0.274], [0.575, 0.540, 0.726], [0.964, 0.425, 0.726], [0.964, 0.540, 0.274]]
}

***

7.
{
  "formula": "FeRh2Br",
  "functional": "GGA-PBE",
  "state": "optimized geometry",
  "density_g_cm3": 9.12,
  "n_ef_per_ev_cell": 4.27,
  "raw_formation_energy_kcal_per_mol_atoms": 14.9,
  "total_energy_ev_per_cell": -22.25,
  "lattice_angstrom": [[0.000, 3.144, 3.144], [3.144, 0.000, 3.144], [3.144, 3.144, 0.000]],
  "species": ["Fe", "Rh", "Rh", "Br"],
  "fractional_positions": [[0.000, 0.000, 0.000], [0.250, 0.250, 0.250], [0.750, 0.750, 0.750], [0.500, 0.500, 0.500]]
}

***

8.
{
  "formula": "Ca2NiSb",
  "functional": "GGA-PBE",
  "state": "optimized geometry",
  "density_g_cm3": 4.47,
  "n_ef_per_ev_cell": 3.25,
  "raw_formation_energy_kcal_per_mol_atoms": -6.6,
  "total_energy_ev_per_cell": -15.06,
  "lattice_angstrom": [[-2.203, 2.203, 4.982], [2.203, -2.203, 4.982], [2.203, 2.203, -4.982]],
  "species": ["Ca", "Ca", "Ni", "Sb"],
  "fractional_positions": [[0.000, 0.000, 0.000], [0.750, 0.250, 0.500], [0.250, 0.750, 0.500], [0.500, 0.500, 0.000]]
}